Al6ZnMo after structural relaxation. Source: Alexandria, functional GGA-PBE.

Unit cell a=7.0698 b=5.2118 c=5.3135 alpha=60.63 beta=71.45 gamma=49.55
With the nearest neighbours (Å) after each atom.
Fractional coordinates of all 8 atoms:
Al 0.7502 0.2908 0.5068  6 Al 2.61-2.80, 1 Zn 2.80
Al 0.2498 0.7092 0.4932  6 Al 2.61-2.80, 1 Zn 2.80
Al 0.7452 0.7718 0.0000  6 Al 2.62-2.79, 1 Zn 2.73, 1 Mo 2.86
Al 0.7502 0.7977 0.4932  6 Al 2.61-2.80, 1 Zn 2.80
Al 0.2548 0.2282 0.0000  6 Al 2.62-2.79, 1 Zn 2.73, 1 Mo 2.86
Al 0.2498 0.2023 0.5068  6 Al 2.61-2.80, 1 Zn 2.80
Mo 0.5000 0.5000 0.0000  2 Zn 2.71, 8 Al 2.86-2.98
Zn 0.0000 0.0000 0.0000  2 Mo 2.71, 6 Al 2.73-2.80

Output
crystal system = monoclinic
space group = No. 12

AlZn2Mo after structural relaxation. Source: Alexandria, functional GGA-PBE.

Unit cell a=2.7146 b=2.7146 c=8.4585 alpha=90.00 beta=90.00 gamma=99.57
With the nearest neighbours (Å) after each atom.
Fractional coordinates of all 4 atoms:
Al 0.0000 0.0000 0.5060  4 Mo 2.69-2.91, 4 Al 2.71, 4 Zn 2.80-3.01
Zn 0.0000 0.0000 0.9981  8 Zn 2.71-2.96, 4 Mo 2.75-2.96
Zn 0.5000 0.5000 0.2482  8 Zn 2.71-2.96, 4 Al 2.80-3.01
Mo 0.5000 0.5000 0.7479  4 Al 2.69-2.91, 4 Mo 2.71, 4 Zn 2.75-2.96

Output
crystal system = orthorhombic
space group = No. 35

AlZn2Mo after structural relaxation. Source: Alexandria, functional GGA-PBE.

Unit cell a=5.3394 b=5.3394 c=5.3394 alpha=147.73 beta=131.66 gamma=59.32
With the nearest neighbours (Å) after each atom.
Fractional coordinates of all 4 atoms:
Mo 0.2500 0.7500 0.5000  4 Al 2.64, 4 Zn 2.75
Zn 0.4999 0.4999 0.0000  4 Zn 2.64, 2 Mo 2.75, 2 Al 2.75
Zn 0.0001 0.0001 0.0000  4 Zn 2.64, 2 Mo 2.75, 2 Al 2.75
Al 0.7500 0.2500 0.5000  4 Mo 2.64, 4 Zn 2.75

Output
crystal system = orthorhombic
space group = No. 71

AlZn2Mo after structural relaxation. Source: Alexandria, functional GGA-PBE.

Unit cell a=3.3807 b=3.3807 c=5.3812 alpha=90.00 beta=90.00 gamma=90.00
With the nearest neighbours (Å) after each atom.
Fractional coordinates of all 4 atoms:
Zn 0.0000 0.0000 0.9918  2 Zn 2.60-2.78, 4 Mo 2.72, 4 Al 2.76
Zn 0.0000 0.0000 0.5082  2 Zn 2.60-2.78, 4 Mo 2.72, 4 Al 2.76
Al 0.5000 0.5000 0.2500  2 Mo 2.69, 8 Zn 2.76
Mo 0.5000 0.5000 0.7500  2 Al 2.69, 8 Zn 2.72

Output
crystal system = tetragonal
space group = No. 123

AlZnMo4 after structural relaxation. Source: Alexandria, functional GGA-PBE.

Unit cell a=5.2313 b=5.2313 c=5.2313 alpha=60.00 beta=60.00 gamma=60.00
With the nearest neighbours (Å) after each atom.
Fractional coordinates of all 6 atoms:
Mo 0.1269 0.6244 0.6244  6 Mo 2.60-2.63
Mo 0.6244 0.6244 0.6244  6 Mo 2.60-2.63
Mo 0.6244 0.1269 0.6244  6 Mo 2.60-2.63
Mo 0.6244 0.6244 0.1269  6 Mo 2.60-2.63
Zn 0.2500 0.2500 0.2500  12 Mo 3.07, 4 Al 3.20
Al 0.0000 0.0000 0.0000  12 Mo 3.07, 4 Zn 3.20

Output
crystal system = cubic
space group = No. 216

Al2Zn2Mo after structural relaxation. Source: Alexandria, functional GGA-PBE.

Unit cell a=7.0614 b=7.0614 c=3.0865 alpha=90.00 beta=90.00 gamma=90.00
With the nearest neighbours (Å) after each atom.
Fractional coordinates of all 10 atoms:
Mo 0.0000 0.0000 0.0000  4 Al 2.71
Mo 0.5000 0.5000 0.0000  4 Al 2.71
Zn 0.6561 0.8439 0.5000  6 Al 2.53-2.62
Zn 0.3439 0.1561 0.5000  6 Al 2.53-2.62
Zn 0.8439 0.3439 0.5000  6 Al 2.53-2.62
Zn 0.1561 0.6561 0.5000  6 Al 2.53-2.62
Al 0.1436 0.3564 0.0000  6 Zn 2.53-2.62, 2 Mo 2.71
Al 0.8564 0.6436 0.0000  6 Zn 2.53-2.62, 2 Mo 2.71
Al 0.3564 0.8564 0.0000  6 Zn 2.53-2.62, 2 Mo 2.71
Al 0.6436 0.1436 0.0000  6 Zn 2.53-2.62, 2 Mo 2.71

Output
crystal system = tetragonal
E above lowest polymorph = 64 meV/atom
space group = No. 127

AlZn2Mo after structural relaxation. Source: Alexandria, functional GGA-PBE.

Unit cell a=5.1912 b=5.1912 c=4.9055 alpha=63.82 beta=63.82 gamma=30.79
With the nearest neighbours (Å) after each atom.
Fractional coordinates of all 4 atoms:
Al 0.5024 0.5024 0.4088  3 Mo 2.69-2.72, 2 Al 2.76, 7 Zn 2.76-2.82
Zn 0.7490 0.7490 0.8367  5 Zn 2.69-2.76, 3 Al 2.76-2.80, 4 Mo 2.78-2.85
Zn 0.9988 0.9988 0.9111  5 Zn 2.69-2.76, 3 Mo 2.77-2.79, 4 Al 2.81-2.82
Mo 0.2498 0.2498 0.3434  3 Al 2.69-2.72, 2 Mo 2.76, 7 Zn 2.77-2.85

Output
crystal system = monoclinic
space group = No. 8

AlZn2Mo after structural relaxation. Source: Alexandria, functional GGA-PBE.

Unit cell a=8.9510 b=8.9510 c=8.9510 alpha=18.32 beta=18.32 gamma=18.32
With the nearest neighbours (Å) after each atom.
Fractional coordinates of all 4 atoms:
Zn 0.2503 0.2503 0.2503  9 Zn 2.72-2.85, 3 Al 2.74
Zn 0.9989 0.9989 0.9989  9 Zn 2.72-2.85, 3 Mo 2.78
Mo 0.7503 0.7503 0.7503  3 Al 2.75, 3 Zn 2.78, 6 Mo 2.85
Al 0.5006 0.5006 0.5006  3 Zn 2.74, 3 Mo 2.75, 6 Al 2.85

Output
crystal system = trigonal
space group = No. 160

Al3ZnMo after structural relaxation. Source: Alexandria, functional GGA-PBE.

Unit cell a=4.5822 b=4.5822 c=4.5822 alpha=90.00 beta=90.00 gamma=90.00
With the nearest neighbours (Å) after each atom.
Fractional coordinates of all 5 atoms:
Al 0.0000 0.0000 0.5000  2 Zn 2.29
Al 0.5000 0.0000 0.0000  2 Zn 2.29
Al 0.0000 0.5000 0.0000  2 Zn 2.29
Zn 0.0000 0.0000 0.0000  6 Al 2.29
Mo 0.5000 0.5000 0.5000  12 Al 3.24

Output
crystal system = cubic
E above lowest polymorph = 1046 meV/atom
space group = No. 221

AlZn2Mo after structural relaxation. Source: Alexandria, functional GGA-PBE.

Unit cell a=4.9016 b=4.9016 c=2.7590 alpha=90.00 beta=90.00 gamma=114.53
With the nearest neighbours (Å) after each atom.
Fractional coordinates of all 4 atoms:
Mo 0.0000 0.5000 0.5000  2 Al 2.65, 2 Mo 2.76, 8 Zn 2.81
Al 0.5000 0.0000 0.5000  2 Mo 2.65, 2 Al 2.76, 8 Zn 2.81
Zn 0.5000 0.5000 0.0000  4 Zn 2.65-2.76, 4 Mo 2.81, 4 Al 2.81
Zn 0.0000 0.0000 0.0000  4 Zn 2.65-2.76, 4 Al 2.81, 4 Mo 2.81

Output
crystal system = orthorhombic
space group = No. 65

AlZn2Mo after structural relaxation. Source: Alexandria, functional GGA-PBE.

Unit cell a=4.7020 b=2.6541 c=4.8830 alpha=84.74 beta=90.00 gamma=90.00
With the nearest neighbours (Å) after each atom.
Fractional coordinates of all 4 atoms:
Mo 0.5000 0.7500 0.7500  2 Mo 2.65, 4 Al 2.67-2.88, 4 Zn 2.80
Zn 0.0000 0.0714 0.9945  4 Zn 2.49-2.75, 2 Al 2.72
Zn 0.0000 0.4286 0.5055  4 Zn 2.49-2.75, 2 Al 2.72
Al 0.5000 0.2500 0.2500  2 Al 2.65, 4 Mo 2.67-2.88, 4 Zn 2.72

Output
crystal system = monoclinic
space group = No. 10

Al3ZnMo after structural relaxation. Source: Alexandria, functional GGA-PBE.

Unit cell a=4.8504 b=4.8504 c=4.8504 alpha=90.00 beta=90.00 gamma=90.00
With the nearest neighbours (Å) after each atom.
Fractional coordinates of all 5 atoms:
Al 0.5000 0.0000 0.0000  2 Mo 2.43
Al 0.0000 0.5000 0.0000  2 Mo 2.43
Al 0.0000 0.0000 0.5000  2 Mo 2.43
Mo 0.0000 0.0000 0.0000  6 Al 2.43
Zn 0.5000 0.5000 0.5000  12 Al 3.43

Output
crystal system = cubic
E above lowest polymorph = 733 meV/atom
space group = No. 221

Al2ZnMo after structural relaxation. Source: Alexandria, functional GGA-PBE.

Unit cell a=2.7320 b=2.7320 c=8.3494 alpha=90.00 beta=90.00 gamma=92.55
With the nearest neighbours (Å) after each atom.
Fractional coordinates of all 4 atoms:
Mo 0.0000 0.0000 0.4992  4 Mo 2.73, 4 Al 2.78-2.84, 4 Zn 2.82-2.87
Al 0.5000 0.5000 0.2549  8 Al 2.73-2.92, 4 Mo 2.78-2.84
Al 0.0000 0.0000 0.9965  8 Al 2.73-2.92, 4 Zn 2.80-2.86
Zn 0.5000 0.5000 0.7495  4 Zn 2.73, 4 Al 2.80-2.86, 4 Mo 2.82-2.87

Output
crystal system = orthorhombic
space group = No. 35

AlZn2Mo after structural relaxation. Source: Alexandria, functional GGA-PBE.

Unit cell a=4.3884 b=4.3884 c=4.3884 alpha=60.00 beta=60.00 gamma=60.00
With the nearest neighbours (Å) after each atom.
Fractional coordinates of all 4 atoms:
Mo 0.7500 0.7500 0.7500  4 Zn 2.69, 4 Al 2.69
Zn 0.2500 0.2500 0.2500  4 Al 2.69, 4 Zn 2.69
Zn 0.0000 0.0000 0.0000  4 Mo 2.69, 4 Zn 2.69
Al 0.5000 0.5000 0.5000  4 Zn 2.69, 4 Mo 2.69

Output
crystal system = cubic
space group = No. 216

AlZn4Mo after structural relaxation. Source: Alexandria, functional GGA-PBE.

Unit cell a=5.0037 b=5.0037 c=5.0037 alpha=60.00 beta=60.00 gamma=60.00
With the nearest neighbours (Å) after each atom.
Fractional coordinates of all 6 atoms:
Al 0.7500 0.7500 0.7500  12 Zn 2.94, 4 Mo 3.06
Mo 0.0000 0.0000 0.0000  12 Zn 2.93, 4 Al 3.06
Zn 0.3742 0.3742 0.8775  6 Zn 2.49-2.52
Zn 0.3742 0.8775 0.3742  6 Zn 2.49-2.52
Zn 0.3742 0.3742 0.3742  6 Zn 2.49-2.52
Zn 0.8775 0.3742 0.3742  6 Zn 2.49-2.52

Output
crystal system = cubic
space group = No. 216

Al2ZnMo after structural relaxation. Source: Alexandria, functional GGA-PBE.

Unit cell a=4.4158 b=4.4158 c=4.4158 alpha=60.00 beta=60.00 gamma=60.00
With the nearest neighbours (Å) after each atom.
Fractional coordinates of all 4 atoms:
Al 0.2500 0.2500 0.2500  4 Mo 2.70, 4 Al 2.70
Al 0.0000 0.0000 0.0000  4 Al 2.70, 4 Zn 2.70
Zn 0.7500 0.7500 0.7500  4 Mo 2.70, 4 Al 2.70
Mo 0.5000 0.5000 0.5000  4 Zn 2.70, 4 Al 2.70

Output
crystal system = cubic
space group = No. 216

Al3ZnMo after structural relaxation. Source: Alexandria, functional GGA-PBE.

Unit cell a=4.7087 b=5.3172 c=6.5949 alpha=90.00 beta=109.79 gamma=90.00
With the nearest neighbours (Å) after each atom.
Fractional coordinates of all 10 atoms:
Al 0.4333 0.7500 0.7894  2 Zn 2.60-2.73, 3 Mo 2.67-2.68, 4 Al 2.77-2.84
Al 0.1917 0.9972 0.3861  6 Al 2.63-2.84, 2 Zn 2.71-2.79, 2 Mo 2.77-2.80
Al 0.5667 0.2500 0.2106  2 Zn 2.60-2.73, 3 Mo 2.67-2.68, 4 Al 2.77-2.84
Al 0.1917 0.5028 0.3861  6 Al 2.63-2.84, 2 Zn 2.71-2.79, 2 Mo 2.77-2.80
Al 0.8083 0.0028 0.6139  6 Al 2.63-2.84, 2 Zn 2.71-2.79, 2 Mo 2.77-2.80
Al 0.8083 0.4972 0.6139  6 Al 2.63-2.84, 2 Zn 2.71-2.79, 2 Mo 2.77-2.80
Zn 0.9565 0.2500 0.0097  6 Al 2.60-2.79, 2 Zn 2.70, 2 Mo 2.71-2.79
Zn 0.0435 0.7500 0.9903  6 Al 2.60-2.79, 2 Zn 2.70, 2 Mo 2.71-2.79
Mo 0.3570 0.2500 0.7808  7 Al 2.67-2.80, 2 Zn 2.71-2.79
Mo 0.6430 0.7500 0.2192  7 Al 2.67-2.80, 2 Zn 2.71-2.79

Output
crystal system = monoclinic
E above lowest polymorph = 0 meV/atom
space group = No. 11

Al2Zn2Mo after structural relaxation. Source: Alexandria, functional GGA-PBE.

Unit cell a=7.1194 b=7.1194 c=2.9659 alpha=90.00 beta=90.00 gamma=90.00
With the nearest neighbours (Å) after each atom.
Fractional coordinates of all 10 atoms:
Zn 0.6227 0.1227 0.0000  1 Zn 2.47, 6 Al 2.49-2.64
Zn 0.1227 0.3773 0.0000  1 Zn 2.47, 6 Al 2.49-2.64
Zn 0.8773 0.6227 0.0000  1 Zn 2.47, 6 Al 2.49-2.64
Zn 0.3773 0.8773 0.0000  1 Zn 2.47, 6 Al 2.49-2.64
Mo 0.5000 0.5000 0.0000  4 Zn 2.82, 2 Mo 2.97, 8 Al 3.01
Mo 0.0000 0.0000 0.0000  4 Zn 2.82, 2 Mo 2.97, 8 Al 3.01
Al 0.6788 0.8212 0.5000  6 Zn 2.49-2.64
Al 0.1788 0.6788 0.5000  6 Zn 2.49-2.64
Al 0.3212 0.1788 0.5000  6 Zn 2.49-2.64
Al 0.8212 0.3212 0.5000  6 Zn 2.49-2.64

Output
crystal system = tetragonal
E above lowest polymorph = 0 meV/atom
space group = No. 127

AlZn2Mo after structural relaxation. Source: Alexandria, functional GGA-PBE.

Unit cell a=2.7151 b=2.7151 c=8.3431 alpha=90.00 beta=90.00 gamma=90.05
With the nearest neighbours (Å) after each atom.
Fractional coordinates of all 4 atoms:
Mo 0.5000 0.5000 0.7500  4 Mo 2.72, 8 Zn 2.83
Zn 0.0000 0.0000 0.9985  4 Zn 2.72, 4 Mo 2.83, 4 Al 2.84
Zn 0.0000 0.0000 0.5015  4 Zn 2.72, 4 Mo 2.83, 4 Al 2.84
Al 0.5000 0.5000 0.2500  4 Al 2.72, 8 Zn 2.84

Output
crystal system = tetragonal
space group = No. 123

Al2ZnMo after structural relaxation. Source: Alexandria, functional GGA-PBE.

Unit cell a=2.7398 b=2.7398 c=8.3305 alpha=90.00 beta=90.00 gamma=90.00
With the nearest neighbours (Å) after each atom.
Fractional coordinates of all 4 atoms:
Zn 0.5000 0.5000 0.7500  4 Zn 2.74, 8 Al 2.87
Al 0.0000 0.0000 0.4957  4 Al 2.74, 4 Mo 2.82, 4 Zn 2.87
Al 0.0000 0.0000 0.0043  4 Al 2.74, 4 Mo 2.82, 4 Zn 2.87
Mo 0.5000 0.5000 0.2500  4 Mo 2.74, 8 Al 2.82

Output
crystal system = tetragonal
space group = No. 123

In order of appearance, density of states at the Fermi level = 3.37, 2.68, 2.15, 2.88, 6.87, 5.50, 2.21, 1.96, 1.79, 2.32, 2.23, 4.54, 1.75, 4.30, 5.10, 2.04, 5.35, 5.07, 2.69, 1.79 states/eV per cell.
In order of appearance, formation energy = 2.5, 5.3, 1.1, 17.8, 40.4, 18.9, -4.3, 6.2, 96.9, 1.8, 3.8, 66.8, 2.6, 21.1, 19.7, 20.9, -4.0, 12.8, 12.3, -1.3 kJ/mol of atoms.